Model 1:
## Sm2EuPb (PBE-GGA)

Data for a relaxed Sm2EuPb crystal.

a = 4.2667 Å, b = 4.2667 Å, c = 7.0639 Å
α = 90.00°, β = 90.00°, γ = 90.00°
Each line ends with the local moment (μB).
Fractional coordinates of all 4 atoms:
Pb 0.5000 0.5000 0.0000  -0.02
Eu 0.5000 0.5000 0.5000  6.88
Sm 0.0000 0.0000 0.7748  0.05
Sm 0.0000 0.0000 0.2252  0.05

Results
Symmetry: No. 123
Total magnetic moment: 7.497 μB per formula unit
DOS at the Fermi energy: 4.558 states/eV/cell

=====

Model 2:
## Sm2EuPb (PBE-GGA)

Data for a relaxed Sm2EuPb crystal.

a = 3.6264 Å, b = 3.6264 Å, c = 12.6548 Å
α = 81.76°, β = 81.76°, γ = 60.00°
Each line ends with the local moment (μB).
Fractional coordinates of all 4 atoms:
Pb 0.0000 0.0000 0.0000  0.02
Eu 0.5000 0.5000 0.5000  -6.99
Sm 0.0856 0.0856 0.7433  -0.03
Sm 0.9144 0.9144 0.2567  -0.03

Results
Symmetry: No. 166
Total magnetic moment: 7.545 μB per formula unit
DOS at the Fermi energy: 4.520 states/eV/cell

=====

Which structure is most stable? model 1, by 0.292 eV/atom over the runner-up.

=====

Model 1:
## Sm2EuPb (PBE-GGA)

Data for a relaxed Sm2EuPb crystal.

a = 5.6097 Å, b = 5.6097 Å, c = 5.6097 Å
α = 60.00°, β = 60.00°, γ = 60.00°
Each line ends with the local moment (μB).
Fractional coordinates of all 4 atoms:
Pb 0.5000 0.5000 0.5000  -0.03
Eu 0.0000 0.0000 0.0000  7.01
Sm 0.2500 0.2500 0.2500  0.22
Sm 0.7500 0.7500 0.7500  0.22

Results
Symmetry: No. 225
Total magnetic moment: 8.165 μB per formula unit
DOS at the Fermi energy: 6.176 states/eV/cell

=====

Model 2:
## Sm2EuPb (PBE-GGA)

Data for a relaxed Sm2EuPb crystal.

a = 4.9019 Å, b = 5.0333 Å, c = 5.0333 Å
α = 90.00°, β = 90.00°, γ = 90.00°
Each line ends with the local moment (μB).
Fractional coordinates of all 4 atoms:
Pb 0.5000 0.5000 0.5000  -0.04
Eu 0.5000 0.0000 0.0000  6.93
Sm 0.0000 0.0000 0.5000  0.12
Sm 0.0000 0.5000 0.0000  0.12

Results
Symmetry: No. 123
Total magnetic moment: 7.646 μB per formula unit
DOS at the Fermi energy: 4.746 states/eV/cell

=====

Which structure is most stable? model 2, by 0.136 eV/atom over the runner-up.

=====

Model 1:
## SrEu2Pb (PBE-GGA)

Data for a relaxed SrEu2Pb crystal.

a = 4.0248 Å, b = 4.0248 Å, c = 10.0323 Å
α = 90.00°, β = 90.00°, γ = 90.00°
Each line ends with the local moment (μB).
Fractional coordinates of all 4 atoms:
Pb 0.5000 0.5000 0.0000  -0.01
Eu 0.0000 0.0000 0.8066  6.95
Eu 0.0000 0.0000 0.1934  6.95
Sr 0.5000 0.5000 0.5000  0.06

Results
Symmetry: No. 123
Total magnetic moment: 15.007 μB per formula unit
DOS at the Fermi energy: 9.013 states/eV/cell

=====

Model 2:
## SrEu2Pb (PBE-GGA)

Data for a relaxed SrEu2Pb crystal.

a = 5.2967 Å, b = 5.2094 Å, c = 5.2094 Å
α = 90.00°, β = 90.00°, γ = 90.00°
Each line ends with the local moment (μB).
Fractional coordinates of all 4 atoms:
Pb 0.5000 0.5000 0.5000  -0.07
Eu 0.0000 0.0000 0.5000  6.95
Eu 0.0000 0.5000 0.0000  6.95
Sr 0.5000 0.0000 0.0000  0.04

Results
Symmetry: No. 123
Total magnetic moment: 14.499 μB per formula unit
DOS at the Fermi energy: 16.331 states/eV/cell

=====

Which structure is most stable? model 2, by 0.039 eV/atom over the runner-up.